{
  "formula": "SiNi2F8",
  "functional": "PBE with a Hubbard U",
  "state": "relaxed",
  "sg": "Cm, No. 8",
  "volume_a3_per_fu": 135.5,
  "final_energy_ev_per_atom": -4.766,
  "lattice": [[3.418, 0.109, -0.077], [-0.272, 5.931, -3.557], [0.164, -0.393, 6.908]],
  "species": ["Ni", "Ni", "Si", "F", "F", "F", "F", "F", "F", "F", "F"],
  "frac_coords": [[0.504, 0.588, 0.327], [0.504, 0.327, 0.588], [0.555, 0.958, 0.958], [0.557, 0.239, 0.041], [0.557, 0.041, 0.239], [0.152, 0.457, 0.457], [0.002, 0.249, 0.667], [0.002, 0.667, 0.249], [0.055, 0.958, 0.958], [0.556, 0.874, 0.676], [0.556, 0.676, 0.874]]
}